! YHBr3 (PBE, optimized geometry); values from VASP
! - total DFT energy (no corrections) (eV per atom) = -3.35
&SYSTEM
  ibrav = 0, nat = 5, ntyp = 3
/
ATOMIC_SPECIES
Y 88.91 Y.upf
Br 79.90 Br.upf
H 1.01 H.upf
CELL_PARAMETERS angstrom
-1.831 -1.030 4.225
2.659 -3.893 0.203
3.441 2.459 2.091
ATOMIC_POSITIONS crystal
Y 0.500 0.500 0.500
Br 0.000 0.500 0.000
Br 0.500 0.000 0.000
Br 0.000 0.000 0.500
H 0.000 0.000 0.000